3
Lattice="-4.0475 1.2380 -0.7219 1.2615 -3.9569 -1.0897 -1.2440 -1.5741 4.2754" Properties=species:S:1:pos:R:3 comment="PBE CdSi2, optimized geometry" spacegroup=P-6m2 formation_energy_uncorrected_ev_per_atom=0.631 density_kg_m3=3712 final_energy_ev_per_cell=-9.87 magmom_total_mub_per_cell=0.00 pbc="T T T"
Cd -1.1301 -3.0123 1.1706
Si -0.9305 -1.1774 3.1981
Si -0.3135 -0.3967 1.0774

6
Lattice="-1.5570 1.5570 13.1905 1.5570 -1.5570 13.1905 1.5570 1.5570 -13.1905" Properties=species:S:1:pos:R:3 comment="PBE Cd2Si, optimized geometry" spacegroup=I4_1/amd formation_energy_uncorrected_ev_per_atom=0.322 density_kg_m3=6566 final_energy_ev_per_cell=-12.57 magmom_total_mub_per_cell=0.00 pbc="T T T"
Cd 1.5570 0.0000 4.5771
Cd 0.0000 0.0000 15.2086
Cd 1.5570 0.0000 8.6134
Cd 0.0000 0.0000 11.1723
Si 0.0000 1.5570 6.5952
Si 0.0000 0.0000 0.0000

5
Lattice="0.5946 2.9495 -0.7911 -0.6220 -0.7210 2.9619 13.0077 -2.0217 2.2393" Properties=species:S:1:pos:R:3 comment="PBE Cd4Si, optimized geometry" spacegroup=P-3m1 formation_energy_uncorrected_ev_per_atom=0.240 density_kg_m3=7087 final_energy_ev_per_cell=-7.88 magmom_total_mub_per_cell=0.00 pbc="T T T"
Cd 2.4860 1.3690 0.8553
Cd 10.4944 -1.1622 3.5548
Cd 5.3984 0.9164 1.3567
Cd 7.5820 -0.7095 3.0534
Si 0.0000 0.0000 0.0000

9
Lattice="-0.2944 6.7459 1.2909 -5.7879 -3.6969 -0.3061 0.3963 -1.1070 5.8754" Properties=species:S:1:pos:R:3 comment="PBE CdSi2, optimized geometry" spacegroup=P-31m formation_energy_uncorrected_ev_per_atom=0.491 density_kg_m3=3424 final_energy_ev_per_cell=-30.87 magmom_total_mub_per_cell=0.00 pbc="T T T"
Cd 0.0000 0.0000 0.0000
Cd -3.7586 -0.7695 3.1639
Cd -1.9274 2.7115 3.6963
Si -1.2299 0.0296 4.0370
Si 0.0336 4.3825 4.7719
Si -4.1178 -3.5090 3.5651
Si -1.2738 -1.2949 2.0043
Si 0.0683 1.2564 2.3944
Si -4.4561 1.9124 2.8232

16
Lattice="8.8294 -0.5155 0.6211 -7.3301 5.0834 -0.1609 -0.1851 -1.8194 8.2671" Properties=species:S:1:pos:R:3 comment="PBE Cd5Si3, optimized geometry" spacegroup=P1 formation_energy_uncorrected_ev_per_atom=0.324 density_kg_m3=6202 final_energy_ev_per_cell=-36.50 magmom_total_mub_per_cell=0.00 pbc="T T T"
Si 0.9917 1.5986 8.3644
Si 0.3107 1.1385 0.3544
Si 2.0978 -0.3401 4.5450
Si -0.7935 3.0868 4.1807
Si -3.5485 1.4296 7.2848
Si 4.8388 1.3090 1.4522
Cd -3.5026 2.8266 3.3643
Cd 4.8101 -0.0837 5.3642
Cd 6.3854 -1.8160 7.2168
Cd -5.0636 4.5837 1.5201
Cd 1.6314 2.1854 3.0141
Cd -0.3185 0.5829 5.7082
Cd 2.8001 -0.8982 7.4968
Cd -1.4958 3.6424 1.2244
Cd -1.2267 0.7713 2.6288
Cd 2.5388 1.9743 6.0950

6
Lattice="2.1524 -6.1464 0.0000 2.1524 6.1464 0.0000 0.0000 0.0000 4.4720" Properties=species:S:1:pos:R:3 comment="PBE CdSi2, optimized geometry" spacegroup=Cmmm formation_energy_uncorrected_ev_per_atom=0.503 density_kg_m3=4732 final_energy_ev_per_cell=-20.50 magmom_total_mub_per_cell=0.00 pbc="T T T"
Cd 2.1524 -2.0595 0.0000
Cd 2.1524 2.0595 0.0000
Si 0.0000 0.0000 0.0000
Si 2.1524 0.0000 2.2360
Si 2.1524 -4.8357 2.2360
Si 2.1524 4.8357 2.2360

6
Lattice="1.4749 -7.9609 0.0000 1.4749 7.9609 0.0000 0.0000 0.0000 4.3511" Properties=species:S:1:pos:R:3 comment="PBE CdSi5, optimized geometry" spacegroup=Amm2 formation_energy_uncorrected_ev_per_atom=0.518 density_kg_m3=4109 final_energy_ev_per_cell=-24.92 magmom_total_mub_per_cell=0.00 pbc="T T T"
Cd 1.4749 7.8154 0.0000
Si 1.4749 2.9327 0.0000
Si 1.4749 -2.9449 0.0000
Si 1.4749 1.3825 2.1756
Si 1.4749 -4.3329 2.1756
Si 1.4749 5.7616 2.1756

4
Lattice="5.3697 -0.0850 0.0000 -2.5649 4.7183 0.0000 0.0000 0.0000 2.7926" Properties=species:S:1:pos:R:3 comment="PBE CdSi3, optimized geometry" spacegroup=Cmmm formation_energy_uncorrected_ev_per_atom=0.590 density_kg_m3=4656 final_energy_ev_per_cell=-14.83 magmom_total_mub_per_cell=0.00 pbc="T T T"
Cd 0.0000 0.0000 0.0000
Si -1.2825 2.3591 1.3963
Si 2.6848 -0.0425 1.3963
Si 1.4024 2.3166 0.0000